# NaBi3Pd | Alexandria via LeMat-Bulk | PBE | relaxed
# DOS(E_F) (states/eV per atom): 1.07
# Distance to the lowest polymorph of the same formula (eV per atom): 0.273
# Formation energy (eV per atom): 0.060
data_NaBi3Pd
_cell_length_a 5.4888
_cell_length_b 5.4888
_cell_length_c 5.4888
_cell_angle_alpha 90.00
_cell_angle_beta 90.00
_cell_angle_gamma 90.00
_space_group_name_H-M_alt 'P 1'
_space_group_IT_number 1
loop_
_space_group_symop_operation_xyz
'x,y,z'
loop_
_atom_site_label
_atom_site_type_symbol
_atom_site_fract_x
_atom_site_fract_y
_atom_site_fract_z
_atom_site_occupancy
Na1 Na 0.5000 0.5000 0.5000 1
Bi1 Bi 0.0000 0.5000 0.0000 1
Bi2 Bi 0.5000 0.0000 0.0000 1
Bi3 Bi 0.0000 0.0000 0.5000 1
Pd1 Pd 0.0000 0.0000 0.0000 1

# ZnHSe2Br | Alexandria via LeMat-Bulk | PBE | relaxed
# DOS(E_F) (states/eV per atom): 0.65
# Distance to the lowest polymorph of the same formula (eV per atom): 0.448
data_ZnHSe2Br
_cell_length_a 4.9887
_cell_length_b 4.9887
_cell_length_c 5.4071
_cell_angle_alpha 90.00
_cell_angle_beta 90.00
_cell_angle_gamma 90.00
_space_group_name_H-M_alt 'P 1'
_space_group_IT_number 1
loop_
_space_group_symop_operation_xyz
'x,y,z'
loop_
_atom_site_label
_atom_site_type_symbol
_atom_site_fract_x
_atom_site_fract_y
_atom_site_fract_z
_atom_site_occupancy
Br1 Br 0.0000 0.0000 0.5000 1
Se1 Se 0.5000 0.0000 0.0000 1
Se2 Se 0.0000 0.5000 0.0000 1
Zn1 Zn 0.0000 0.0000 0.0000 1
H1 H 0.5000 0.5000 0.5000 1

# YZrAl2 | Alexandria via LeMat-Bulk | PBE | relaxed
# DOS(E_F) (states/eV per atom): 1.51
# Distance to the lowest polymorph of the same formula (eV per atom): 0.084
# Formation energy (eV per atom): -0.307
data_YZrAl2
_cell_length_a 4.9370
_cell_length_b 4.9370
_cell_length_c 4.9370
_cell_angle_alpha 60.00
_cell_angle_beta 60.00
_cell_angle_gamma 60.00
_space_group_name_H-M_alt 'P 1'
_space_group_IT_number 1
loop_
_space_group_symop_operation_xyz
'x,y,z'
loop_
_atom_site_label
_atom_site_type_symbol
_atom_site_fract_x
_atom_site_fract_y
_atom_site_fract_z
_atom_site_occupancy
Zr1 Zr 0.5000 0.5000 0.5000 1
Al1 Al 0.7500 0.7500 0.7500 1
Al2 Al 0.2500 0.2500 0.2500 1
Y1 Y 0.0000 0.0000 0.0000 1